No. 1
# PBE KSiRh, optimized geometry
data_KSiRh
_symmetry_space_group_name_H-M 'F -4 3 m'
_symmetry_Int_Tables_number 216
_symmetry_space_group_name_Hall 'F -4 2 3'
_cell_length_a 6.664
_cell_length_b 6.664
_cell_length_c 6.664
_cell_angle_alpha 90.00
_cell_angle_beta 90.00
_cell_angle_gamma 90.00
loop_
_atom_site_label
_atom_site_type_symbol
_atom_site_fract_x
_atom_site_fract_y
_atom_site_fract_z
K1 K 0.000 0.000 0.000
Si1 Si 0.250 0.250 0.250
Rh1 Rh 0.250 0.250 0.750
# * polymorph energy (0 for the lowest one): 2.0897 eV/atom
# * energy relative to the elements, uncorrected: 1.60 eV per atom

No. 2
# PBE Na2BeCr2, optimized geometry
data_Na2BeCr2
_symmetry_space_group_name_H-M 'P 4/m m m'
_symmetry_Int_Tables_number 123
_symmetry_space_group_name_Hall '-P 4 2'
_cell_length_a 4.998
_cell_length_b 4.998
_cell_length_c 4.672
_cell_angle_alpha 90.00
_cell_angle_beta 90.00
_cell_angle_gamma 90.00
loop_
_atom_site_label
_atom_site_type_symbol
_atom_site_fract_x
_atom_site_fract_y
_atom_site_fract_z
Na1 Na 0.000 0.500 0.000
Be1 Be 0.000 0.000 0.000
Cr1 Cr 0.000 0.000 0.500
Cr2 Cr 0.500 0.500 0.500
# * E_form: 1179 meV per atom

No. 3
# PBE Na4Np3TiN8, optimized geometry
data_Na4Np3TiN8
_symmetry_space_group_name_H-M 'R -3 m'
_symmetry_Int_Tables_number 166
_symmetry_space_group_name_Hall '-R 3 2"'
_cell_length_a 6.7272
_cell_length_b 6.7272
_cell_length_c 17.0008
_cell_angle_alpha 90.00
_cell_angle_beta 90.00
_cell_angle_gamma 120.00
loop_
_atom_site_label
_atom_site_type_symbol
_atom_site_fract_x
_atom_site_fract_y
_atom_site_fract_z
Na1 Na 0.0000 0.0000 0.0000
Na2 Na 0.0000 0.5000 0.0000
Np1 Np 0.0000 0.5000 0.5000
Ti1 Ti 0.0000 0.0000 0.5000
N1 N 0.0000 0.0000 0.2297
N2 N 0.0045 0.5023 0.2277
# * energy relative to the elements, uncorrected: -0.85 eV per atom

No. 4
# PBE RbCeTiS4, optimized geometry
data_RbCeTiS4
_symmetry_space_group_name_H-M 'P 1 21/m 1'
_symmetry_Int_Tables_number 11
_cell_length_a 6.831
_cell_length_b 6.745
_cell_length_c 9.183
_cell_angle_alpha 90.00
_cell_angle_beta 107.76
_cell_angle_gamma 90.00
loop_
_symmetry_equiv_pos_as_xyz
'x,y,z'
'-x,-y,-z'
'-x,y+1/2,-z'
'x,-y+1/2,z'
loop_
_atom_site_label
_atom_site_type_symbol
_atom_site_fract_x
_atom_site_fract_y
_atom_site_fract_z
Rb1 Rb 0.223 0.250 0.436
Ce1 Ce 0.276 0.250 0.949
Ti1 Ti 0.273 0.750 0.171
S1 S 0.068 0.750 0.323
S2 S 0.069 0.750 0.929
S3 S 0.499 0.505 0.797
# * energy relative to the elements, uncorrected: -1.58 eV per atom

No. 5
# PBE LiPmHoMg, optimized geometry
data_LiPmHoMg
_symmetry_space_group_name_H-M 'F -4 3 m'
_symmetry_Int_Tables_number 216
_symmetry_space_group_name_Hall 'F -4 2 3'
_cell_length_a 7.584
_cell_length_b 7.584
_cell_length_c 7.584
_cell_angle_alpha 90.00
_cell_angle_beta 90.00
_cell_angle_gamma 90.00
loop_
_atom_site_label
_atom_site_type_symbol
_atom_site_fract_x
_atom_site_fract_y
_atom_site_fract_z
Li1 Li 0.000 0.000 0.000
Pm1 Pm 0.250 0.250 0.750
Ho1 Ho 0.250 0.250 0.250
Mg1 Mg 0.000 0.000 0.500
# * E_form: 33 meV per atom

No. 6
# PBE TmNbPd14, optimized geometry
data_TmNbPd14
_symmetry_space_group_name_H-M 'P 4/m m m'
_symmetry_Int_Tables_number 123
_symmetry_space_group_name_Hall '-P 4 2'
_cell_length_a 5.687
_cell_length_b 5.687
_cell_length_c 7.877
_cell_angle_alpha 90.00
_cell_angle_beta 90.00
_cell_angle_gamma 90.00
loop_
_atom_site_label
_atom_site_type_symbol
_atom_site_fract_x
_atom_site_fract_y
_atom_site_fract_z
Tm1 Tm 0.000 0.000 0.000
Nb1 Nb 0.500 0.500 0.000
Pd1 Pd 0.000 0.000 0.500
Pd2 Pd 0.000 0.500 0.000
Pd3 Pd 0.000 0.500 0.500
Pd4 Pd 0.255 0.255 0.249
Pd5 Pd 0.500 0.500 0.500
# * E_form: -343 meV per atom

No. 7
# PBE GaRe2Ir, optimized geometry
data_GaRe2Ir
_symmetry_space_group_name_H-M 'I -4 2 d'
_symmetry_Int_Tables_number 122
_symmetry_space_group_name_Hall 'I -4 2bw'
_cell_length_a 5.738
_cell_length_b 5.738
_cell_length_c 10.830
_cell_angle_alpha 90.00
_cell_angle_beta 90.00
_cell_angle_gamma 90.00
loop_
_atom_site_label
_atom_site_type_symbol
_atom_site_fract_x
_atom_site_fract_y
_atom_site_fract_z
Ga1 Ga 0.000 0.000 0.000
Re1 Re 0.237 0.250 0.625
Ir1 Ir 0.000 0.000 0.500
# * E_form: 1389 meV per atom

No. 8
# PBE Mg2Sc2Pd3, optimized geometry
data_Mg2Sc2Pd3
_symmetry_space_group_name_H-M 'P -1'
_symmetry_Int_Tables_number 2
_cell_length_a 4.622
_cell_length_b 4.632
_cell_length_c 7.663
_cell_angle_alpha 72.45
_cell_angle_beta 72.49
_cell_angle_gamma 60.22
loop_
_symmetry_equiv_pos_as_xyz
'x,y,z'
'-x,-y,-z'
loop_
_atom_site_label
_atom_site_type_symbol
_atom_site_fract_x
_atom_site_fract_y
_atom_site_fract_z
Mg1 Mg 0.130 0.131 0.109
Sc1 Sc 0.384 0.383 0.350
Pd1 Pd 0.000 0.000 0.500
Pd2 Pd 0.256 0.256 0.731
# * E_form: -729 meV per atom
# * polymorph energy (0 for the lowest one): 0.0000 eV/atom

No. 9
# PBE YMoAs, optimized geometry
data_YMoAs
_symmetry_space_group_name_H-M 'F -4 3 m'
_symmetry_Int_Tables_number 216
_symmetry_space_group_name_Hall 'F -4 2 3'
_cell_length_a 6.363
_cell_length_b 6.363
_cell_length_c 6.363
_cell_angle_alpha 90.00
_cell_angle_beta 90.00
_cell_angle_gamma 90.00
loop_
_atom_site_label
_atom_site_type_symbol
_atom_site_fract_x
_atom_site_fract_y
_atom_site_fract_z
Y1 Y 0.000 0.000 0.000
Mo1 Mo 0.000 0.000 0.500
As1 As 0.250 0.250 0.250
# * E_form: -116 meV per atom

No. 10
# PBE Ac3Ga3Ge2, optimized geometry
data_Ac3Ga3Ge2
_symmetry_space_group_name_H-M 'C m c m'
_symmetry_Int_Tables_number 63
_symmetry_space_group_name_Hall '-C 2c 2'
_cell_length_a 4.433
_cell_length_b 12.057
_cell_length_c 15.894
_cell_angle_alpha 90.00
_cell_angle_beta 90.00
_cell_angle_gamma 90.00
loop_
_atom_site_label
_atom_site_type_symbol
_atom_site_fract_x
_atom_site_fract_y
_atom_site_fract_z
Ac1 Ac 0.000 0.051 0.106
Ac2 Ac 0.000 0.335 0.250
Ga1 Ga 0.000 0.350 0.037
Ga2 Ga 0.000 0.388 0.750
Ge1 Ge 0.000 0.237 0.611
# * E_form: -559 meV per atom
# * polymorph energy (0 for the lowest one): 0.0720 eV/atom

No. 11
# PBE CdNi10B3, optimized geometry
data_CdNi10B3
_symmetry_space_group_name_H-M 'F m -3 m'
_symmetry_Int_Tables_number 225
_symmetry_space_group_name_Hall '-F 4 2 3'
_cell_length_a 10.572
_cell_length_b 10.572
_cell_length_c 10.572
_cell_angle_alpha 90.00
_cell_angle_beta 90.00
_cell_angle_gamma 90.00
loop_
_atom_site_label
_atom_site_type_symbol
_atom_site_fract_x
_atom_site_fract_y
_atom_site_fract_z
Cd1 Cd 0.250 0.250 0.250
Ni1 Ni 0.000 0.166 0.166
Ni2 Ni 0.113 0.113 0.387
B1 B 0.000 0.000 0.272
# * E_form: -185 meV per atom

No. 12
# PBE CePrGeCl, optimized geometry
data_CePrGeCl
_symmetry_space_group_name_H-M 'A m m 2'
_symmetry_Int_Tables_number 38
_cell_length_a 5.895
_cell_length_b 4.578
_cell_length_c 9.346
_cell_angle_alpha 90.00
_cell_angle_beta 90.00
_cell_angle_gamma 90.00
loop_
_symmetry_equiv_pos_as_xyz
'x,y,z'
'-x,-y,z'
'-x,y,z'
'x,-y,z'
'x,y+1/2,z+1/2'
'-x,-y+1/2,z+1/2'
'-x,y+1/2,z+1/2'
'x,-y+1/2,z+1/2'
loop_
_atom_site_label
_atom_site_type_symbol
_atom_site_fract_x
_atom_site_fract_y
_atom_site_fract_z
Ce1 Ce 0.000 0.000 0.000
Pr1 Pr 0.500 0.000 0.308
Ge1 Ge 0.000 0.000 0.310
Cl1 Cl 0.500 0.000 0.002
# * energy relative to the elements, uncorrected: -0.91 eV per atom

Total magnetic moment for the records above, in order: 0.00 0.34 5.00 1.00 0.00 0.00 0.00 0.00 0.14 0.00 0.59 1.01 μB/f.u.